Sm2MnGeO6 | GGA+U | relaxed Values from VASP.

```
&SYSTEM
  ibrav = 0, nat = 10, ntyp = 4
/
ATOMIC_SPECIES
O 16.00 O.upf
Sm 150.36 Sm.upf
Mn 54.94 Mn.upf
Ge 72.64 Ge.upf
CELL_PARAMETERS angstrom
4.874 0.000 0.000
0.000 5.295 0.000
0.000 0.000 5.295
ATOMIC_POSITIONS angstrom
O 0.716 2.648 2.648
O 3.524 4.047 4.047
O 3.524 4.047 1.248
O 1.115 0.000 0.000
O 3.524 1.248 4.047
O 3.524 1.248 1.248
Sm 0.045 2.648 0.000
Sm 0.045 0.000 2.648
Mn 2.741 2.648 2.648
Ge 2.916 0.000 0.000
```

Properties
Electronic total energy (eV/cell): -75.96
Size of the total moment (μB per cell): 5.00